1.
VASP calculation (PBE) on a relaxed TbErGe crystal.

```
data_TbErGe
_chemical_formula_sum 'Tb2 Er2 Ge2'
_space_group_name_H-M_alt 'P 1'
_space_group_IT_number 1
_space_group_name_Hall 'P 1'
_cell_length_a 4.3439
_cell_length_b 4.3462
_cell_length_c 8.1020
_cell_angle_alpha 90.00
_cell_angle_beta 90.00
_cell_angle_gamma 89.99
loop_
_atom_site_label
_atom_site_fract_x
_atom_site_fract_y
_atom_site_fract_z
Tb1 0.1800 0.0254 0.6918
Tb2 0.6802 0.5254 0.4011
Ge1 0.1801 0.0255 0.3216
Er1 0.6801 0.0254 0.0466
Er2 0.1801 0.5254 0.0463
Ge2 0.6799 0.5255 0.7715
```

Summary:
**Energy above the most stable polymorph in this dataset**: 0 meV/atom
**Formation energy**: -0.61 eV per atom

=====

2.
VASP calculation (PBE) on a relaxed TbErGe2 crystal.

```
data_TbErGe2
_chemical_formula_sum 'Tb1 Er1 Ge2'
_space_group_name_H-M_alt 'P 1'
_space_group_IT_number 1
_space_group_name_Hall 'P 1'
_cell_length_a 3.2153
_cell_length_b 5.3004
_cell_length_c 5.3004
_cell_angle_alpha 90.00
_cell_angle_beta 90.00
_cell_angle_gamma 90.00
loop_
_atom_site_label
_atom_site_fract_x
_atom_site_fract_y
_atom_site_fract_z
Er1 0.5000 0.0000 0.0000
Ge1 0.0000 0.0000 0.5000
Ge2 0.0000 0.5000 0.0000
Tb1 0.5000 0.5000 0.5000
```

Summary:
**Formation energy**: -0.60 eV per atom

=====

3.
VASP calculation (PBE) on a relaxed TbErGe crystal.

```
data_TbErGe
_chemical_formula_sum 'Tb1 Er1 Ge1'
_space_group_name_H-M_alt 'P 1'
_space_group_IT_number 1
_space_group_name_Hall 'P 1'
_cell_length_a 4.1685
_cell_length_b 4.6985
_cell_length_c 4.6985
_cell_angle_alpha 120.00
_cell_angle_beta 90.00
_cell_angle_gamma 90.00
loop_
_atom_site_label
_atom_site_fract_x
_atom_site_fract_y
_atom_site_fract_z
Tb1 0.6219 0.6667 0.3333
Er1 0.1014 0.0000 0.0000
Ge1 0.2766 0.3333 0.6667
```

Summary:
**Energy above the most stable polymorph in this dataset**: 233 meV/atom
**Formation energy**: -0.38 eV per atom

=====

4.
VASP calculation (PBE) on a relaxed TbEr2Ge crystal.

```
data_TbEr2Ge
_chemical_formula_sum 'Tb1 Er2 Ge1'
_space_group_name_H-M_alt 'P 1'
_space_group_IT_number 1
_space_group_name_Hall 'P 1'
_cell_length_a 3.5261
_cell_length_b 3.5261
_cell_length_c 11.1070
_cell_angle_alpha 80.87
_cell_angle_beta 80.87
_cell_angle_gamma 60.00
loop_
_atom_site_label
_atom_site_fract_x
_atom_site_fract_y
_atom_site_fract_z
Er1 0.1046 0.1046 0.6863
Ge1 0.5000 0.5000 0.5000
Tb1 0.0000 0.0000 0.0000
Er2 0.8954 0.8954 0.3137
```

Summary:
**Formation energy**: -0.04 eV per atom

=====

5.
VASP calculation (PBE) on a relaxed TbErGe2 crystal.

```
data_TbErGe2
_chemical_formula_sum 'Tb1 Er1 Ge2'
_space_group_name_H-M_alt 'P 1'
_space_group_IT_number 1
_space_group_name_Hall 'P 1'
_cell_length_a 4.1583
_cell_length_b 4.1583
_cell_length_c 7.1037
_cell_angle_alpha 72.98
_cell_angle_beta 72.98
_cell_angle_gamma 60.00
loop_
_atom_site_label
_atom_site_fract_x
_atom_site_fract_y
_atom_site_fract_z
Ge1 0.7513 0.7513 0.7462
Ge2 0.2487 0.2487 0.2538
Tb1 0.0000 0.0000 0.0000
Er1 0.5000 0.5000 0.5000
```

Summary:
**Formation energy**: -0.65 eV per atom

=====

6.
VASP calculation (PBE) on a relaxed Tb5Er2Ge4 crystal.

```
data_Tb5Er2Ge4
_chemical_formula_sum 'Tb5 Er2 Ge4'
_space_group_name_H-M_alt 'P 1'
_space_group_IT_number 1
_space_group_name_Hall 'P 1'
_cell_length_a 3.7571
_cell_length_b 7.9805
_cell_length_c 10.7867
_cell_angle_alpha 96.56
_cell_angle_beta 100.03
_cell_angle_gamma 90.00
loop_
_atom_site_label
_atom_site_fract_x
_atom_site_fract_y
_atom_site_fract_z
Tb1 0.8974 0.5759 0.7948
Ge1 0.3964 0.2885 0.7927
Tb2 0.1599 0.9722 0.3199
Er1 0.2664 0.3329 0.5327
Er2 0.7336 0.6671 0.4673
Tb3 0.1026 0.4241 0.2052
Ge2 0.9743 0.2692 0.9485
Tb4 0.8401 0.0278 0.6801
Ge3 0.6036 0.7115 0.2073
Ge4 0.0257 0.7308 0.0515
Tb5 0.5000 0.0000 0.0000
```

Summary:
**Formation energy**: -0.27 eV per atom

=====

7.
VASP calculation (PBE) on a relaxed TbEr4Ge4 crystal.

```
data_TbEr4Ge4
_chemical_formula_sum 'Tb2 Er8 Ge8'
_space_group_name_H-M_alt 'P 1'
_space_group_IT_number 1
_space_group_name_Hall 'P 1'
_cell_length_a 5.7583
_cell_length_b 9.1238
_cell_length_c 9.1238
_cell_angle_alpha 90.00
_cell_angle_beta 90.00
_cell_angle_gamma 90.00
loop_
_atom_site_label
_atom_site_fract_x
_atom_site_fract_y
_atom_site_fract_z
Er1 0.8885 0.4023 0.1662
Er2 0.8885 0.5977 0.8338
Ge1 0.6087 0.7813 0.3654
Ge2 0.3913 0.6346 0.7813
Ge3 0.6087 0.2187 0.6346
Er3 0.6115 0.0977 0.3338
Ge4 0.8913 0.7187 0.1346
Ge5 0.8913 0.2813 0.8654
Er4 0.6115 0.9023 0.6662
Er5 0.1115 0.8338 0.4023
Tb1 0.5000 0.5000 0.5000
Ge6 0.1087 0.1346 0.2813
Er6 0.1115 0.1662 0.5977
Ge7 0.1087 0.8654 0.7187
Er7 0.3885 0.3338 0.9023
Ge8 0.3913 0.3654 0.2187
Tb2 0.0000 0.0000 0.0000
Er8 0.3885 0.6662 0.0977
```

Summary:
**Formation energy**: -0.57 eV per atom

=====

8.
VASP calculation (PBE) on a relaxed Tb2Er3Ge4 crystal.

```
data_Tb2Er3Ge4
_chemical_formula_sum 'Tb4 Er6 Ge8'
_space_group_name_H-M_alt 'P 1'
_space_group_IT_number 1
_space_group_name_Hall 'P 1'
_cell_length_a 7.5638
_cell_length_b 7.9072
_cell_length_c 7.7497
_cell_angle_alpha 90.00
_cell_angle_beta 90.00
_cell_angle_gamma 112.16
loop_
_atom_site_label
_atom_site_fract_x
_atom_site_fract_y
_atom_site_fract_z
Tb1 0.9389 0.8014 0.8201
Er1 0.2713 0.7617 0.1628
Er2 0.5000 0.5000 0.0000
Er3 0.7287 0.2383 0.8372
Er4 0.2287 0.2383 0.6628
Ge1 0.1750 0.9125 0.4641
Ge2 0.6750 0.9125 0.0359
Ge3 0.3688 0.4912 0.3674
Ge4 0.8250 0.0875 0.5359
Ge5 0.8688 0.4912 0.1326
Ge6 0.3250 0.0875 0.9641
Tb2 0.0611 0.1986 0.1799
Er5 0.7713 0.7617 0.3372
Tb3 0.4389 0.8014 0.6799
Ge7 0.6312 0.5088 0.6326
Ge8 0.1312 0.5088 0.8674
Tb4 0.5611 0.1986 0.3201
Er6 0.0000 0.5000 0.5000
```

Summary:
**Formation energy**: -0.87 eV per atom

=====

9.
VASP calculation (PBE) on a relaxed TbErGe crystal.

```
data_TbErGe
_chemical_formula_sum 'Tb1 Er1 Ge1'
_space_group_name_H-M_alt 'P 1'
_space_group_IT_number 1
_space_group_name_Hall 'P 1'
_cell_length_a 4.8684
_cell_length_b 4.8684
_cell_length_c 4.8684
_cell_angle_alpha 60.00
_cell_angle_beta 60.00
_cell_angle_gamma 60.00
loop_
_atom_site_label
_atom_site_fract_x
_atom_site_fract_y
_atom_site_fract_z
Er1 0.0000 0.0000 0.0000
Ge1 0.2500 0.2500 0.2500
Tb1 0.5000 0.5000 0.5000
```

Summary:
**Energy above the most stable polymorph in this dataset**: 82 meV/atom
**Formation energy**: -0.53 eV per atom

=====

10.
VASP calculation (PBE) on a relaxed TbErGe crystal.

```
data_TbErGe
_chemical_formula_sum 'Tb4 Er4 Ge4'
_space_group_name_H-M_alt 'P 1'
_space_group_IT_number 1
_space_group_name_Hall 'P 1'
_cell_length_a 4.3023
_cell_length_b 5.8685
_cell_length_c 13.5604
_cell_angle_alpha 90.00
_cell_angle_beta 90.00
_cell_angle_gamma 90.00
loop_
_atom_site_label
_atom_site_fract_x
_atom_site_fract_y
_atom_site_fract_z
Er1 0.7500 0.7644 0.9653
Er2 0.2500 0.2644 0.5347
Tb1 0.2500 0.4657 0.7941
Er3 0.7500 0.7356 0.4653
Ge1 0.7500 0.0379 0.1495
Ge2 0.2500 0.5379 0.3505
Tb2 0.2500 0.0343 0.2941
Tb3 0.7500 0.5343 0.2059
Ge3 0.7500 0.4621 0.6495
Ge4 0.2500 0.9621 0.8505
Er4 0.2500 0.2356 0.0347
Tb4 0.7500 0.9657 0.7059
```

Summary:
**Energy above the most stable polymorph in this dataset**: 111 meV/atom
**Formation energy**: -0.50 eV per atom

=====

11.
VASP calculation (PBE) on a relaxed Tb4ErGe4 crystal.

```
data_Tb4ErGe4
_chemical_formula_sum 'Tb8 Er2 Ge8'
_space_group_name_H-M_alt 'P 1'
_space_group_IT_number 1
_space_group_name_Hall 'P 1'
_cell_length_a 5.8706
_cell_length_b 9.0608
_cell_length_c 9.0608
_cell_angle_alpha 90.00
_cell_angle_beta 90.00
_cell_angle_gamma 90.00
loop_
_atom_site_label
_atom_site_fract_x
_atom_site_fract_y
_atom_site_fract_z
Tb1 0.6187 0.9113 0.6795
Tb2 0.3813 0.3205 0.9113
Er1 0.5000 0.5000 0.5000
Ge1 0.6214 0.7711 0.3727
Tb3 0.1187 0.1795 0.5887
Ge2 0.1214 0.1273 0.2711
Er2 0.0000 0.0000 0.0000
Ge3 0.8786 0.7289 0.1273
Ge4 0.1214 0.8727 0.7289
Ge5 0.8786 0.2711 0.8727
Tb4 0.3813 0.6795 0.0887
Tb5 0.8813 0.4113 0.1795
Ge6 0.3786 0.3727 0.2289
Tb6 0.6187 0.0887 0.3205
Ge7 0.3786 0.6273 0.7711
Ge8 0.6214 0.2289 0.6273
Tb7 0.8813 0.5887 0.8205
Tb8 0.1187 0.8205 0.4113
```

Summary:
**Formation energy**: -0.59 eV per atom

=====

12.
VASP calculation (PBE) on a relaxed Tb3Er3Ge4 crystal.

```
data_Tb3Er3Ge4
_chemical_formula_sum 'Tb3 Er3 Ge4'
_space_group_name_H-M_alt 'P 1'
_space_group_IT_number 1
_space_group_name_Hall 'P 1'
_cell_length_a 4.2495
_cell_length_b 7.5555
_cell_length_c 7.5555
_cell_angle_alpha 90.11
_cell_angle_beta 90.00
_cell_angle_gamma 90.00
loop_
_atom_site_label
_atom_site_fract_x
_atom_site_fract_y
_atom_site_fract_z
Tb1 0.5000 0.6728 0.6737
Ge1 0.0000 0.6252 0.3748
Er1 0.0000 0.0000 0.4998
Tb2 0.5000 0.8277 0.1723
Ge2 0.0000 0.8767 0.8742
Ge3 0.0000 0.1258 0.1233
Ge4 0.0000 0.3725 0.6275
Er2 0.5000 0.1730 0.8270
Er3 0.0000 0.5002 0.0000
Tb3 0.5000 0.3263 0.3272
```

Summary:
**Formation energy**: -0.79 eV per atom

=====

13.
VASP calculation (PBE) on a relaxed TbErGe2 crystal.

```
data_TbErGe2
_chemical_formula_sum 'Tb1 Er1 Ge2'
_space_group_name_H-M_alt 'P 1'
_space_group_IT_number 1
_space_group_name_Hall 'P 1'
_cell_length_a 4.2739
_cell_length_b 3.9643
_cell_length_c 5.7663
_cell_angle_alpha 90.00
_cell_angle_beta 111.77
_cell_angle_gamma 90.00
loop_
_atom_site_label
_atom_site_fract_x
_atom_site_fract_y
_atom_site_fract_z
Ge1 0.9971 0.0000 0.5326
Er1 0.4452 0.5000 0.4290
Tb1 0.7206 0.0000 0.9806
Ge2 0.1681 0.5000 0.8759
```

Summary:
**Formation energy**: -0.86 eV per atom

=====

14.
VASP calculation (PBE) on a relaxed TbErGeTe crystal.

```
data_TbErGeTe
_chemical_formula_sum 'Tb1 Er1 Ge1 Te1'
_space_group_name_H-M_alt 'P 1'
_space_group_IT_number 1
_space_group_name_Hall 'P 1'
_cell_length_a 4.2176
_cell_length_b 4.2179
_cell_length_c 7.6304
_cell_angle_alpha 90.01
_cell_angle_beta 106.04
_cell_angle_gamma 119.99
loop_
_atom_site_label
_atom_site_fract_x
_atom_site_fract_y
_atom_site_fract_z
Te1 0.9693 0.3827 0.3670
Tb1 0.1124 0.9542 0.0816
Ge1 0.3036 0.5497 0.8690
Er1 0.4927 0.1442 0.6521
```

Summary:
**Formation energy without anion corrections**: -1.105 eV/atom

=====

15.
VASP calculation (PBE) on a relaxed TbErZnGe crystal.

```
data_TbErZnGe
_chemical_formula_sum 'Tb1 Er1 Zn1 Ge1'
_space_group_name_H-M_alt 'P 1'
_space_group_IT_number 1
_space_group_name_Hall 'P 1'
_cell_length_a 4.1739
_cell_length_b 4.1036
_cell_length_c 5.8218
_cell_angle_alpha 90.00
_cell_angle_beta 111.01
_cell_angle_gamma 90.00
loop_
_atom_site_label
_atom_site_fract_x
_atom_site_fract_y
_atom_site_fract_z
Zn1 0.5745 0.5000 0.1490
Er1 0.8602 0.5000 0.7203
Ge1 0.4228 0.0000 0.8455
Tb1 0.1426 0.0000 0.2851
```

Summary:
**Energy above the most stable polymorph in this dataset**: 0 meV/atom
**Formation energy**: -0.62 eV per atom

=====

16.
VASP calculation (PBE) on a relaxed Tb2ErZn2Ge2 crystal.

```
data_Tb2ErZn2Ge2
_chemical_formula_sum 'Tb2 Er1 Zn2 Ge2'
_space_group_name_H-M_alt 'P 1'
_space_group_IT_number 1
_space_group_name_Hall 'P 1'
_cell_length_a 4.1245
_cell_length_b 4.1245
_cell_length_c 11.3049
_cell_angle_alpha 79.49
_cell_angle_beta 79.49
_cell_angle_gamma 60.00
loop_
_atom_site_label
_atom_site_fract_x
_atom_site_fract_y
_atom_site_fract_z
Er1 0.0000 0.0000 0.0000
Ge1 0.7343 0.7343 0.7971
Ge2 0.2657 0.2657 0.2029
Zn1 0.3883 0.3883 0.8351
Tb1 0.8769 0.8769 0.3694
Tb2 0.1231 0.1231 0.6306
Zn2 0.6117 0.6117 0.1649
```

Summary:
**Formation energy**: -0.44 eV per atom

=====

17.
VASP calculation (PBE) on a relaxed TbErZnGe crystal.

```
data_TbErZnGe
_chemical_formula_sum 'Tb1 Er1 Zn1 Ge1'
_space_group_name_H-M_alt 'P 1'
_space_group_IT_number 1
_space_group_name_Hall 'P 1'
_cell_length_a 5.0069
_cell_length_b 5.0069
_cell_length_c 5.0069
_cell_angle_alpha 60.00
_cell_angle_beta 60.00
_cell_angle_gamma 60.00
loop_
_atom_site_label
_atom_site_fract_x
_atom_site_fract_y
_atom_site_fract_z
Er1 0.0000 0.0000 0.0000
Tb1 0.5000 0.5000 0.5000
Ge1 0.2500 0.2500 0.2500
Zn1 0.7500 0.7500 0.7500
```

Summary:
**Energy above the most stable polymorph in this dataset**: 94 meV/atom
**Formation energy**: -0.52 eV per atom

=====

18.
VASP calculation (PBE) on a relaxed ErTcGe crystal.

```
data_ErTcGe
_chemical_formula_sum 'Er4 Tc4 Ge4'
_space_group_name_H-M_alt 'P 1'
_space_group_IT_number 1
_space_group_name_Hall 'P 1'
_cell_length_a 4.3104
_cell_length_b 7.6554
_cell_length_c 7.0710
_cell_angle_alpha 93.84
_cell_angle_beta 90.00
_cell_angle_gamma 90.00
loop_
_atom_site_label
_atom_site_fract_x
_atom_site_fract_y
_atom_site_fract_z
Tc1 0.5000 0.6486 0.5751
Er1 0.5000 0.0585 0.7467
Ge1 0.0000 0.8285 0.5597
Er2 0.0000 0.4415 0.7533
Ge2 0.0000 0.1715 0.4403
Ge3 0.5000 0.6715 0.9403
Tc2 0.0000 0.1486 0.0751
Er3 0.0000 0.5585 0.2467
Tc3 0.0000 0.8514 0.9249
Er4 0.5000 0.9415 0.2533
Tc4 0.5000 0.3514 0.4249
Ge4 0.5000 0.3285 0.0597
```

Summary:
**Energy above the most stable polymorph in this dataset**: 40 meV/atom
**Formation energy**: -0.52 eV per atom

=====

19.
VASP calculation (PBE) on a relaxed Er2TcGe2 crystal.

```
data_Er2TcGe2
_chemical_formula_sum 'Er4 Tc2 Ge4'
_space_group_name_H-M_alt 'P 1'
_space_group_IT_number 1
_space_group_name_Hall 'P 1'
_cell_length_a 6.0664
_cell_length_b 6.2649
_cell_length_c 7.3942
_cell_angle_alpha 115.06
_cell_angle_beta 114.22
_cell_angle_gamma 90.00
loop_
_atom_site_label
_atom_site_fract_x
_atom_site_fract_y
_atom_site_fract_z
Ge1 0.6048 0.3577 0.2096
Tc1 0.7500 0.5000 0.0000
Ge2 0.3952 0.6423 0.7904
Er1 0.3532 0.0628 0.7064
Tc2 0.2500 0.5000 0.0000
Ge3 0.1048 0.8520 0.2096
Er2 0.6468 0.9372 0.2936
Er3 0.8532 0.6436 0.7064
Ge4 0.8952 0.1480 0.7904
Er4 0.1468 0.3564 0.2936
```

Summary:
**Energy above the most stable polymorph in this dataset**: 184 meV/atom
**Formation energy**: -0.51 eV per atom

=====

20.
VASP calculation (PBE) on a relaxed ErTc4Ge4 crystal.

```
data_ErTc4Ge4
_chemical_formula_sum 'Er2 Tc8 Ge8'
_space_group_name_H-M_alt 'P 1'
_space_group_IT_number 1
_space_group_name_Hall 'P 1'
_cell_length_a 4.7856
_cell_length_b 8.2294
_cell_length_c 8.2294
_cell_angle_alpha 90.00
_cell_angle_beta 90.00
_cell_angle_gamma 90.00
loop_
_atom_site_label
_atom_site_fract_x
_atom_site_fract_y
_atom_site_fract_z
Er1 0.5000 0.5000 0.5000
Ge1 0.4273 0.2853 0.1447
Tc1 0.9184 0.6323 0.8936
Er2 0.0000 0.0000 0.0000
Ge2 0.9273 0.3553 0.7853
Tc2 0.4184 0.3936 0.8677
Ge3 0.0727 0.2147 0.3553
Tc3 0.5816 0.8677 0.6064
Tc4 0.4184 0.6064 0.1323
Tc5 0.0816 0.1064 0.6323
Ge4 0.9273 0.6447 0.2147
Ge5 0.4273 0.7147 0.8553
Ge6 0.5727 0.1447 0.7147
Tc6 0.5816 0.1323 0.3936
Ge7 0.0727 0.7853 0.6447
Ge8 0.5727 0.8553 0.2853
Tc7 0.9184 0.3677 0.1064
Tc8 0.0816 0.8936 0.3677
```

Summary:
**Formation energy**: -0.12 eV per atom